## Tb2CeY6 (PBE)

Data for Tb2CeY6 after structural relaxation.

Offset from the most stable computed form: 268 meV per atom
Formation energy: 312.9 meV per atom
Theoretical density: 5.60 g cm⁻³
Calculated volume: 32.68 Å³/atom
Space group: R3m, No. 160
Crystal system: trigonal

```
Tb2CeY6
1.0
7.320 0.000 0.000
3.660 6.339 0.000
3.660 2.113 6.338
Tb Ce Y
2 1 6
Cartesian
7.320 4.226 1.655
10.980 6.339 4.633
3.660 2.113 0.318
3.660 4.445 1.800
1.640 0.947 1.800
5.680 0.947 1.800
7.320 6.398 4.455
5.440 3.140 4.455
9.201 3.141 4.455
```